# 1
A crystal of BeGaNF2 relaxed with PBEsol, computed with meta-GGA SCAN. Values from VASP.

Summary:
- crystal system = tetragonal
- E_tot (eV per atom) = -8.88
- formation energy (no corrections) (eV/atom) = -1.46
- Fermi-level density of states (states/eV/f.u.) = 0.64
- mass density (kg/m³) = 4503

Structure (Quantum ESPRESSO input):
```
&SYSTEM
  ibrav = 0, nat = 5, ntyp = 4
/
ATOMIC_SPECIES
Be 9.01 Be.upf
Ga 69.72 Ga.upf
N 14.01 N.upf
F 19.00 F.upf
ATOMIC_POSITIONS crystal
Be 0.000 0.000 0.000
Ga 0.500 0.500 0.500
N 0.000 0.000 0.500
F 0.000 0.500 0.000
F 0.500 0.000 0.000
CELL_PARAMETERS angstrom
3.097 0.000 0.000
0.000 3.097 0.000
0.000 0.000 5.026
```


# 2
A crystal of BeGaO2F relaxed with PBEsol, computed with meta-GGA SCAN. Values from VASP.

Summary:
- crystal system = tetragonal
- E_tot (eV per atom) = -8.96
- formation energy (no corrections) (eV/atom) = -1.62
- Fermi-level density of states (states/eV/f.u.) = 0.84
- mass density (kg/m³) = 5285

Structure (Quantum ESPRESSO input):
```
&SYSTEM
  ibrav = 0, nat = 5, ntyp = 4
/
ATOMIC_SPECIES
Be 9.01 Be.upf
Ga 69.72 Ga.upf
O 16.00 O.upf
F 19.00 F.upf
ATOMIC_POSITIONS crystal
Be 0.000 0.000 0.000
Ga 0.500 0.500 0.500
O 0.000 0.500 0.000
O 0.500 0.000 0.000
F 0.000 0.000 0.500
CELL_PARAMETERS angstrom
3.591 0.000 0.000
0.000 3.591 0.000
0.000 0.000 3.161
```


# 3
A crystal of BeGaO2F relaxed with PBEsol, computed with meta-GGA SCAN. Values from VASP.

Summary:
- crystal system = tetragonal
- E_tot (eV per atom) = -6.77
- formation energy (no corrections) (eV/atom) = 0.57
- Fermi-level density of states (states/eV/f.u.) = 2.00
- mass density (kg/m³) = 3441

Structure (Quantum ESPRESSO input):
```
&SYSTEM
  ibrav = 0, nat = 5, ntyp = 4
/
ATOMIC_SPECIES
Be 9.01 Be.upf
Ga 69.72 Ga.upf
O 16.00 O.upf
F 19.00 F.upf
ATOMIC_POSITIONS crystal
Be 0.000 0.000 0.000
Ga 0.500 0.500 0.000
O 0.000 0.500 0.500
O 0.500 0.000 0.500
F 0.500 0.500 0.500
CELL_PARAMETERS angstrom
4.290 0.000 0.000
0.000 4.290 0.000
0.000 0.000 3.401
```


# 4
A crystal of YBe2GaF relaxed with PBEsol, computed with meta-GGA SCAN. Values from VASP.

Summary:
- crystal system = tetragonal
- E_tot (eV per atom) = -11.66
- formation energy (no corrections) (eV/atom) = -0.37
- Fermi-level density of states (states/eV/f.u.) = 1.98
- mass density (kg/m³) = 3620

Structure (Quantum ESPRESSO input):
```
&SYSTEM
  ibrav = 0, nat = 5, ntyp = 4
/
ATOMIC_SPECIES
Y 88.91 Y.upf
Be 9.01 Be.upf
Ga 69.72 Ga.upf
F 19.00 F.upf
ATOMIC_POSITIONS crystal
Y 0.000 0.000 0.000
Be 0.000 0.500 0.500
Be 0.500 0.000 0.500
Ga 0.000 0.000 0.500
F 0.500 0.500 0.000
CELL_PARAMETERS angstrom
3.989 0.000 0.000
0.000 3.989 0.000
0.000 0.000 5.639
```